The following is a DFT calculation (GGA-PBE) of a relaxed Pr3Sn5 crystal.

The calculation puts the mass density at 7.4 g/cm³. The energy of formation comes out at -0.67 eV/atom. The calculation puts the density of states at the Fermi level at 5.70 states/eV/f.u. For the volume, the calculation gives 456.2 Å³ per cell. The spin magnetization is 0.00 μB/f.u.

Cell: 6.6147 6.6147 10.6939 Å, 90.00 90.00 102.85°
Fractional coordinates of all 16 atoms:
Pr 0.2010 0.7990 0.0000
Pr 0.3676 0.3676 0.7500
Pr 0.7990 0.2010 0.5000
Pr 0.6324 0.6324 0.2500
Pr 0.7990 0.2010 0.0000
Pr 0.2010 0.7990 0.5000
Sn 0.6802 0.6802 0.5477
Sn 0.6802 0.6802 0.9523
Sn 0.9276 0.5024 0.7500
Sn 0.4976 0.0724 0.2500
Sn 0.5024 0.9276 0.7500
Sn 0.9780 0.9780 0.7500
Sn 0.0724 0.4976 0.2500
Sn 0.0220 0.0220 0.2500
Sn 0.3198 0.3198 0.0477
Sn 0.3198 0.3198 0.4523

=====

The following is a DFT calculation (GGA-PBE) of a relaxed KNCl3 crystal.

The calculation puts the mass density at 1.2 g/cm³. The calculation puts the density of states at the Fermi level at 49.55 states/eV/f.u. For the volume, the calculation gives 228.6 Å³ per cell. The spin magnetization is 3.01 μB/f.u. The value obtained for the formation energy from raw total energies is 840 meV/atom.

Cell: 6.1144 6.1144 6.1144 Å, 90.00 90.00 90.00°
Fractional coordinates of all 5 atoms:
Cl 0.5000 0.0000 0.0000
Cl 0.0000 0.0000 0.5000
Cl 0.0000 0.5000 0.0000
K 0.0000 0.0000 0.0000
N 0.5000 0.5000 0.5000

=====

The following is a DFT calculation (GGA-PBE) of a relaxed HfOs2PbS crystal.

The calculation puts the mass density at 12.8 g/cm³. The calculation puts the density of states at the Fermi level at 2.69 states/eV/f.u. For the volume, the calculation gives 103.6 Å³ per cell. The spin magnetization is 0.00 μB/f.u. The value obtained for the formation energy from raw total energies is 906 meV/atom.

Cell: 4.3553 4.3553 5.4639 Å, 90.00 90.00 90.00°
Fractional coordinates of all 5 atoms:
Os 0.0000 0.5000 0.0000
Os 0.5000 0.0000 0.0000
Pb 0.0000 0.0000 0.5000
Hf 0.5000 0.5000 0.5000
S 0.0000 0.0000 0.0000